# NbAlRe PBE optimized geometry
# Calculated total energy: -216.66 eV per cell
# Magnetization: 0.000 μB/f.u.
# N(E_F): 19.1 states/eV/cell
# Formation energy: -26.4 kJ/mol of atoms
# Calculated density: 10.5 g/cm3
# Polymorph energy (0 for the lowest one): 0.0000 eV/atom
data_NbAlRe
_chemical_formula_sum 'Nb8 Al8 Re8'
_cell_length_a 8.441
_cell_length_b 5.178
_cell_length_c 8.891
_cell_angle_alpha 90.00
_cell_angle_beta 90.00
_cell_angle_gamma 90.00
_symmetry_space_group_name_H-M 'A m m 2'
_symmetry_Int_Tables_number 38
loop_
_symmetry_equiv_pos_as_xyz
'x,y,z'
'-x,-y,z'
'-x,y,z'
'x,-y,z'
'x,y+1/2,z+1/2'
'-x,-y+1/2,z+1/2'
'-x,y+1/2,z+1/2'
'x,-y+1/2,z+1/2'
loop_
_atom_site_label
_atom_site_type_symbol
_atom_site_fract_x
_atom_site_fract_y
_atom_site_fract_z
Nb1 Nb 0.186 0.000 0.000
Nb2 Nb 0.308 0.000 0.670
Al1 Al 0.254 0.000 0.328
Al2 Al 0.500 0.242 0.917
Re1 Re 0.000 0.000 0.500
Re2 Re 0.000 0.246 0.746
Re3 Re 0.500 0.000 0.163